Entry 1:
# Y3GaPt3

Y3GaPt3 after structural relaxation (PBE-GGA, Alexandria via LeMat-Bulk).

a = 10.8548 Å, b = 4.1157 Å, c = 14.4350 Å
α = 90.00°, β = 109.62°, γ = 90.00°
With the nearest neighbours (Å) after each atom.
Space group C2/m (No. 12)
Asymmetric unit:
Y (0.0205, 0.0000, 0.3828) x4  6 Pt 2.97-3.09, 3 Ga 3.02-3.24
Y (0.1094, 0.0000, 0.9243) x4  7 Pt 2.92-3.24
Y (0.2372, 0.0000, 0.2257) x4  6 Pt 2.93-3.18, 2 Ga 3.24
Ga (0.2291, 0.5000, 0.3969) x4  4 Pt 2.50-2.71
Pt (0.0174, 0.5000, 0.2335) x4  1 Ga 2.68, 1 Pt 2.85, 3 Y 2.97-3.01
Pt (0.1220, 0.5000, 0.0771) x4  2 Pt 2.83-2.85, 5 Y 2.92-2.99
Pt (0.1357, 0.5000, 0.5492) x4  3 Ga 2.50-2.71

E_form: -1.14 eV per atom

Entry 2:
# RbIBr2N

RbIBr2N after structural relaxation (PBE-GGA, Alexandria via LeMat-Bulk).

a = 6.4778 Å, b = 6.4778 Å, c = 4.8319 Å
α = 90.00°, β = 90.00°, γ = 90.00°
With the nearest neighbours (Å) after each atom.
Space group P4/mmm (No. 123)
Asymmetric unit:
Rb (0.0000, 0.0000, 0.0000) x1  2 N 2.42
I (0.5000, 0.5000, 0.5000) x1  8 Br 4.04
Br (0.0000, 0.5000, 0.0000) x2  2 Rb 3.24
N (0.0000, 0.0000, 0.5000) x1  2 Rb 2.42

E_form (uncorrected): 1.232 eV per atom

Entry 3:
# NaAgPd2

NaAgPd2 after structural relaxation (PBE-GGA, Alexandria via LeMat-Bulk).

a = 6.5013 Å, b = 6.5013 Å, c = 6.5013 Å
α = 90.00°, β = 90.00°, γ = 90.00°
With the nearest neighbours (Å) after each atom.
Space group Fm-3m (No. 225)
Asymmetric unit:
Na (0.0000, 0.0000, 0.0000) x4  8 Pd 2.82
Ag (0.0000, 0.0000, 0.5000) x4  8 Pd 2.82
Pd (0.2500, 0.2500, 0.2500) x8  4 Na 2.82, 4 Ag 2.82

Energy above the most stable polymorph in this dataset: 43 meV/atom
E_form: 0.00 eV per atom

Entry 4:
# Ag2Ge2I7

Ag2Ge2I7 after structural relaxation (PBE-GGA, Alexandria via LeMat-Bulk).

a = 12.4998 Å, b = 11.5486 Å, c = 7.8508 Å
α = 90.00°, β = 121.87°, γ = 90.00°
With the nearest neighbours (Å) after each atom.
Space group C2/m (No. 12)
Asymmetric unit:
Ag (0.0000, 0.1850, 0.0000) x4  4 I 2.82-2.93
Ge (0.1932, 0.5000, 0.3943) x4  4 I 2.75-2.94
I (0.0000, 0.5000, 0.5000) x2  2 Ge 2.94
I (0.0551, 0.0000, 0.2914) x4  1 Ge 2.79, 2 Ag 2.93
I (0.2206, 0.3208, 0.1892) x8  1 Ge 2.75, 1 Ag 2.82

E_form (uncorrected): -0.199 eV per atom

Entry 5:
# ScTa2Sb

ScTa2Sb after structural relaxation (PBE-GGA, Alexandria via LeMat-Bulk).

a = 6.7666 Å, b = 6.7666 Å, c = 6.7666 Å
α = 90.00°, β = 90.00°, γ = 90.00°
With the nearest neighbours (Å) after each atom.
Space group F-43m (No. 216)
Asymmetric unit:
Sc (0.0000, 0.0000, 0.0000) x4  4 Sb 2.93, 4 Ta 2.93
Ta (0.0000, 0.0000, 0.5000) x4  4 Ta 2.93, 4 Sb 2.93
Ta (0.2500, 0.2500, 0.7500) x4  4 Ta 2.93, 4 Sc 2.93
Sb (0.2500, 0.2500, 0.2500) x4  4 Ta 2.93, 4 Sc 2.93

E_form (uncorrected): -0.025 eV per atom

Entry 6:
# Ac2LaNd2Tm

Ac2LaNd2Tm after structural relaxation (PBE-GGA, Alexandria via LeMat-Bulk).

a = 5.9492 Å, b = 10.3103 Å, c = 7.3912 Å
α = 90.00°, β = 90.00°, γ = 90.00°
With the nearest neighbours (Å) after each atom.
Space group Pmc2_1 (No. 26)
Asymmetric unit:
Ac (0.0000, 0.0005, 0.0000) x2  6 Ac 3.70-3.93, 2 Tm 3.92, 6 Nd 3.93-3.99
Ac (0.5000, 0.1726, 0.2504) x2  5 Nd 3.45-3.70, 2 La 3.85
La (0.5000, 0.5004, 0.4993) x2  2 La 3.70, 6 Nd 3.84-3.86, 2 Ac 3.85, 4 Tm 3.89
Nd (0.0000, 0.3422, 0.2496) x2  3 Tm 3.33-3.70, 2 Ac 3.45
Nd (0.5000, 0.1732, 0.7498) x2  2 Tm 3.41, 3 Ac 3.57-3.70
Tm (0.0000, 0.3352, 0.7491) x2  5 Nd 3.33-3.70

E_form: 0.08 eV per atom

Entry 7:
# ScPa2TcN5

ScPa2TcN5 after structural relaxation (PBE-GGA, Alexandria via LeMat-Bulk).

a = 3.2996 Å, b = 13.1943 Å, c = 10.2053 Å
α = 90.00°, β = 90.00°, γ = 90.00°
With the nearest neighbours (Å) after each atom.
Space group Cmc2_1 (No. 36)
Asymmetric unit:
Sc (0.0000, 0.2036, 0.0000) x4  6 N 2.14-2.36
Pa (0.0000, 0.1071, 0.6768) x4  6 N 2.26-2.51
Pa (0.0000, 0.1472, 0.2948) x4  6 N 2.34-2.62
Tc (0.0000, 0.4729, 0.4535) x4  4 N 1.95-2.14
N (0.0000, 0.0512, 0.0704) x4  2 Tc 2.06, 1 Sc 2.14
N (0.0000, 0.2783, 0.6635) x4  3 Pa 2.26-2.34, 2 Sc 2.36
N (0.0000, 0.3223, 0.3593) x4  1 Tc 2.21, 2 Sc 2.21, 1 Pa 2.40
N (0.0000, 0.3685, 0.9970) x4  1 Tc 2.14, 1 Sc 2.18
N (0.0000, 0.4839, 0.7709) x4  1 Tc 1.95

E_form (uncorrected): -1.281 eV per atom

Entry 8:
# FeTc2Os

FeTc2Os after structural relaxation (PBE-GGA, Alexandria via LeMat-Bulk).

a = 6.0810 Å, b = 6.0810 Å, c = 6.0810 Å
α = 90.00°, β = 90.00°, γ = 90.00°
With the nearest neighbours (Å) after each atom.
Space group F-43m (No. 216)
Asymmetric unit:
Fe (0.0000, 0.0000, 0.0000) x4  4 Tc 2.63, 4 Os 2.63
Tc (0.0000, 0.0000, 0.5000) x4  4 Os 2.63, 4 Tc 2.63
Tc (0.2500, 0.2500, 0.7500) x4  4 Fe 2.63, 4 Tc 2.63
Os (0.2500, 0.2500, 0.2500) x4  4 Fe 2.63, 4 Tc 2.63

Energy above the most stable polymorph in this dataset: 198 meV/atom
E_form: 0.28 eV per atom

Entry 9:
# CoP2CS

CoP2CS after structural relaxation (PBE-GGA, Alexandria via LeMat-Bulk).

a = 4.1543 Å, b = 4.1543 Å, c = 4.7026 Å
α = 90.00°, β = 90.00°, γ = 90.00°
With the nearest neighbours (Å) after each atom.
Space group P4/mmm (No. 123)
Asymmetric unit:
Co (0.0000, 0.0000, 0.0000) x1  4 P 2.08
P (0.0000, 0.5000, 0.0000) x2  2 Co 2.08
C (0.5000, 0.5000, 0.5000) x1  4 S 2.94, 8 P 3.14
S (0.0000, 0.0000, 0.5000) x1  2 Co 2.35

Energy above the most stable polymorph in this dataset: 478 meV/atom
E_form (uncorrected): 1.698 eV per atom

Entry 10:
# LiZnSe2

LiZnSe2 after structural relaxation (PBE-GGA, Alexandria via LeMat-Bulk).

a = 3.4754 Å, b = 3.4754 Å, c = 6.9551 Å
α = 90.00°, β = 90.00°, γ = 90.00°
With the nearest neighbours (Å) after each atom.
Space group P4mm (No. 99)
Asymmetric unit:
Li (0.0000, 0.0000, 0.0000) x1  5 Se 2.60-2.65
Zn (0.5000, 0.5000, 0.5092) x1  5 Se 2.42-2.63
Se (0.0000, 0.0000, 0.3738) x1  1 Li 2.60, 4 Zn 2.63
Se (0.5000, 0.5000, 0.8578) x1  1 Zn 2.42, 4 Li 2.65

Energy above the most stable polymorph in this dataset: 18 meV/atom
E_form (uncorrected): -0.586 eV per atom

Entry 11:
# SmNi4As2

SmNi4As2 after structural relaxation (PBE-GGA, Alexandria via LeMat-Bulk).

a = 7.3276 Å, b = 7.3276 Å, c = 3.7913 Å
α = 90.00°, β = 90.00°, γ = 90.00°
With the nearest neighbours (Å) after each atom.
Space group P4_2/mnm (No. 136)
Asymmetric unit:
Sm (0.0000, 0.0000, 0.0000) x2  6 As 2.91-2.96, 12 Ni 3.22-3.24
Ni (0.0880, 0.3474, 0.5000) x8  3 As 2.42-2.44, 6 Ni 2.58-2.69
As (0.2188, 0.7812, 0.5000) x4  6 Ni 2.42-2.44

E_form: -0.62 eV per atom

Entry 12:
# KTe2As2S6

KTe2As2S6 after structural relaxation (PBE-GGA, Alexandria via LeMat-Bulk).

a = 5.7339 Å, b = 8.3256 Å, c = 9.4339 Å
α = 70.16°, β = 74.78°, γ = 78.09°
With the nearest neighbours (Å) after each atom.
Space group P-1 (No. 2)
Asymmetric unit:
K (0.0000, 0.0000, 0.0000) x1  6 S 3.31-3.33
Te (0.3843, 0.1055, 0.3055) x2  2 S 2.32-2.41
As (0.3837, 0.4965, 0.9027) x2  2 S 2.19-2.35
S (0.2249, 0.9708, 0.6472) x2  1 Te 2.32
S (0.2825, 0.4046, 0.2940) x2  1 As 2.35, 1 Te 2.41
S (0.4575, 0.2174, 0.9478) x2  1 As 2.19

E_form (uncorrected): -0.160 eV per atom

Entry 13:
# LiHfNp2N4

LiHfNp2N4 after structural relaxation (PBE-GGA, Alexandria via LeMat-Bulk).

a = 5.7051 Å, b = 3.3589 Å, c = 5.7835 Å
α = 90.00°, β = 109.33°, γ = 90.00°
With the nearest neighbours (Å) after each atom.
Space group P2/m (No. 10)
Asymmetric unit:
Li (0.0000, 0.0000, 0.0000) x1  6 N 2.36-2.46
Hf (0.0000, 0.5000, 0.5000) x1  6 N 2.26-2.30
Np (0.5000, 0.0000, 0.5000) x1  6 N 2.27-2.33
Np (0.5000, 0.5000, 0.0000) x1  6 N 2.43
N (0.2374, 0.0000, 0.7335) x2  2 Hf 2.30, 3 Np 2.33-2.43, 1 Li 2.36
N (0.2616, 0.5000, 0.2794) x2  1 Hf 2.26, 3 Np 2.27-2.43, 2 Li 2.46

E_form (uncorrected): -1.151 eV per atom

Entry 14:
# Tb2HoScTe5

Tb2HoScTe5 after structural relaxation (PBE-GGA, Alexandria via LeMat-Bulk).

a = 5.5466 Å, b = 5.5466 Å, c = 11.0732 Å
α = 90.00°, β = 90.00°, γ = 90.00°
With the nearest neighbours (Å) after each atom.
Space group P4/mmm (No. 123)
Asymmetric unit:
Tb (0.0000, 0.0000, 0.1643) x2  4 Te 3.32, 1 Tb 3.64
Ho (0.5000, 0.5000, 0.0000) x1  6 Te 2.77-2.89
Sc (0.5000, 0.5000, 0.5000) x1  2 Te 2.64
Te (0.0000, 0.0000, 0.5000) x1  2 Tb 3.72, 4 Sc 3.92
Te (0.0000, 0.5000, 0.0000) x2  2 Ho 2.77
Te (0.5000, 0.5000, 0.2612) x2  1 Sc 2.64, 1 Ho 2.89

E_form (uncorrected): -0.621 eV per atom

Entry 15:
# CsCd2Ga2

CsCd2Ga2 after structural relaxation (PBE-GGA, Alexandria via LeMat-Bulk).

a = 9.3704 Å, b = 9.3704 Å, c = 3.1639 Å
α = 90.00°, β = 90.00°, γ = 90.00°
With the nearest neighbours (Å) after each atom.
Space group P4/mbm (No. 127)
Asymmetric unit:
Cs (0.0000, 0.0000, 0.0000) x2  2 Cs 3.16
Cd (0.1297, 0.3703, 0.0000) x4  6 Ga 3.07-3.32, 2 Cd 3.16
Ga (0.1502, 0.6502, 0.5000) x4  6 Cd 3.07-3.32, 2 Ga 3.16

Energy above the most stable polymorph in this dataset: 113 meV/atom
E_form: 0.10 eV per atom

Entry 16:
# YNbBr

YNbBr after structural relaxation (PBE-GGA, Alexandria via LeMat-Bulk).

a = 3.7278 Å, b = 10.4675 Å, c = 7.4111 Å
α = 90.00°, β = 90.00°, γ = 90.00°
With the nearest neighbours (Å) after each atom.
Space group Ima2 (No. 46)
Asymmetric unit:
Y (0.2500, 0.1630, 0.0000) x4  4 Br 3.02-3.05, 2 Nb 3.06
Nb (0.2500, 0.5840, 0.1925) x4  2 Nb 2.56, 1 Br 2.80
Br (0.2500, 0.6462, 0.8257) x4  2 Nb 2.80-2.99, 4 Y 3.02-3.05

Energy above the most stable polymorph in this dataset: 378 meV/atom
E_form (uncorrected): -0.269 eV per atom

Entry 17:
# RbBN

RbBN after structural relaxation (PBE-GGA, Alexandria via LeMat-Bulk).

a = 7.5670 Å, b = 4.8093 Å, c = 10.7521 Å
α = 90.00°, β = 97.29°, γ = 90.00°
With the nearest neighbours (Å) after each atom.
Space group C2/m (No. 12)
Asymmetric unit:
Rb (0.0910, 0.0000, 0.2809) x4  3 N 2.87-2.94, 1 B 3.11
B (0.1065, 0.5000, 0.4948) x4  2 N 1.45
N (0.0311, 0.5000, 0.6125) x4  2 B 1.45

E_form (uncorrected): -0.066 eV per atom

Entry 18:
# Cs2Ga3I5

Cs2Ga3I5 after structural relaxation (PBE-GGA, Alexandria via LeMat-Bulk).

a = 9.8329 Å, b = 23.3295 Å, c = 9.0756 Å
α = 90.00°, β = 90.00°, γ = 90.00°
With the nearest neighbours (Å) after each atom.
Space group Ibam (No. 72)
Asymmetric unit:
Cs (0.1835, 0.1912, 0.0000) x8  5 I 3.84-3.90
Ga (0.0000, 0.0000, 0.2500) x4  4 I 3.26
Ga (0.0609, 0.4061, 0.0000) x8  5 I 3.11-3.43
I (0.0000, 0.2990, 0.2500) x8  2 Ga 3.43
I (0.0000, 0.5000, 0.2500) x4  4 Ga 3.21
I (0.1238, 0.0858, 0.5000) x8  3 Ga 3.11-3.26

E_form (uncorrected): -0.771 eV per atom

Entry 19:
# Er2TiSe4

Er2TiSe4 after structural relaxation (PBE-GGA, Alexandria via LeMat-Bulk).

a = 14.2538 Å, b = 3.9531 Å, c = 7.1024 Å
α = 90.00°, β = 118.87°, γ = 90.00°
With the nearest neighbours (Å) after each atom.
Space group C2/m (No. 12)
Asymmetric unit:
Er (0.2332, 0.0000, 0.2203) x4  6 Se 2.79-2.90
Ti (0.0000, 0.5000, 0.5000) x2  6 Se 2.65-2.73
Se (0.1129, 0.5000, 0.9254) x4  1 Ti 2.65, 3 Er 2.79-2.84
Se (0.1256, 0.0000, 0.4763) x4  2 Ti 2.73, 3 Er 2.89-2.90

E_form (uncorrected): -1.556 eV per atom

Entry 20:
# VTcSbI2

VTcSbI2 after structural relaxation (PBE-GGA, Alexandria via LeMat-Bulk).

a = 5.4057 Å, b = 5.4057 Å, c = 5.4276 Å
α = 90.00°, β = 90.00°, γ = 90.00°
With the nearest neighbours (Å) after each atom.
Space group P4/mmm (No. 123)
Asymmetric unit:
V (0.0000, 0.0000, 0.0000) x1  4 I 2.70, 2 Sb 2.71
Tc (0.5000, 0.5000, 0.5000) x1  4 Sb 3.82, 8 I 3.83
Sb (0.0000, 0.0000, 0.5000) x1  2 V 2.71
I (0.0000, 0.5000, 0.0000) x2  2 V 2.70

Energy above the most stable polymorph in this dataset: 0 meV/atom
E_form (uncorrected): 1.043 eV per atom

Entry 21:
# InBiTe4

InBiTe4 after structural relaxation (PBE-GGA, Alexandria via LeMat-Bulk).

a = 6.8841 Å, b = 8.7041 Å, c = 8.4472 Å
α = 90.00°, β = 94.65°, γ = 90.00°
With the nearest neighbours (Å) after each atom.
Space group P2/c (No. 13)
Asymmetric unit:
In (0.0000, 0.2438, 0.2500) x2  4 Te 2.81-2.86
Bi (0.5000, 0.3591, 0.7500) x2  4 Te 2.97-3.20
Te (0.1874, 0.0571, 0.0380) x4  1 Te 2.79, 1 In 2.81
Te (0.2362, 0.4576, 0.4375) x4  1 In 2.86, 2 Bi 2.97-3.20

E_form (uncorrected): -0.051 eV per atom

Entry 22:
# VSn2HgGe

VSn2HgGe after structural relaxation (PBE-GGA, Alexandria via LeMat-Bulk).

a = 5.5026 Å, b = 5.5026 Å, c = 5.0298 Å
α = 90.00°, β = 90.00°, γ = 90.00°
With the nearest neighbours (Å) after each atom.
Space group P4/mmm (No. 123)
Asymmetric unit:
V (0.0000, 0.0000, 0.0000) x1  8 Sn 3.73, 4 Ge 3.89
Sn (0.0000, 0.5000, 0.5000) x2  2 Hg 2.75
Hg (0.5000, 0.5000, 0.5000) x1  2 Ge 2.51, 4 Sn 2.75
Ge (0.5000, 0.5000, 0.0000) x1  2 Hg 2.51

E_form: 1.39 eV per atom

Entry 23:
# LaZn12Au4

LaZn12Au4 after structural relaxation (PBE-GGA, Alexandria via LeMat-Bulk).

a = 8.8938 Å, b = 8.8938 Å, c = 8.8938 Å
α = 90.00°, β = 90.00°, γ = 90.00°
With the nearest neighbours (Å) after each atom.
Space group Im-3 (No. 204)
Asymmetric unit:
La (0.0000, 0.0000, 0.0000) x2  12 Zn 3.43
Zn (0.0000, 0.3568, 0.1473) x24  2 Zn 2.55-2.62, 2 Au 2.58
Au (0.2500, 0.2500, 0.2500) x8  6 Zn 2.58

E_form: -0.02 eV per atom